Entry 1:
This record from Alexandria describes crystalline CuOs2CO at its relaxed geometry. The functional is PBE.

a b c (Å): 4.0016 3.9298 4.0016
angles (deg): 90.00 90.00 90.00
Last column: magnetic moment on the atom in μB.
Fractional positions:
C  0.0000  0.0000  0.0000  -0.04
Os  0.0000  0.0000  0.5000  1.00
Os  0.5000  0.0000  0.0000  1.21
O  0.0000  0.5000  0.0000  0.71
Cu  0.5000  0.5000  0.5000  0.07

energy relative to the elements, uncorrected = 1.26 eV/atom
crystal system = tetragonal
total energy = -6.884 eV/atom

=====

Entry 2:
This record from Alexandria describes crystalline Tm4BiP at its relaxed geometry. The functional is PBE.

a b c (Å): 5.7788 8.1620 11.2753
angles (deg): 90.00 90.00 134.98
Fractional positions:
Tm  0.5324  0.7490  0.7500
Tm  0.4676  0.2510  0.2500
Tm  0.4685  0.2173  0.7500
Tm  0.5315  0.7827  0.2500
Tm  0.0004  0.7656  0.0166
Tm  0.9996  0.2344  0.5166
Tm  0.0004  0.7656  0.4834
Tm  0.9996  0.2344  0.9834
Bi  0.0009  0.7154  0.7500
Bi  0.9991  0.2846  0.2500
P  0.0006  0.2392  0.7500
P  0.9994  0.7608  0.2500

crystal system = monoclinic
total energy = -4.922 eV/atom
energy relative to the elements = -0.3924 eV/atom

=====

Entry 3:
This record from Alexandria describes crystalline SiNiP2S at its relaxed geometry. The functional is PBE.

a b c (Å): 4.2759 4.2759 4.8025
angles (deg): 90.00 90.00 90.00
Fractional positions:
Ni  0.0000  0.0000  0.0000
S  0.0000  0.0000  0.5000
Si  0.5000  0.5000  0.5000
P  0.0000  0.5000  0.0000
P  0.5000  0.0000  0.0000

energy relative to the elements, uncorrected = 0.72 eV/atom
crystal system = tetragonal
total energy = -4.515 eV/atom
energy above the most stable polymorph in this dataset = 0.00 eV per formula unit

=====

Entry 4:
This record from Alexandria describes crystalline HfZrTcAu at its relaxed geometry. The functional is PBE.

a b c (Å): 4.7373 4.7373 4.7373
angles (deg): 60.00 60.00 60.00
Fractional positions:
Hf  0.2500  0.2500  0.2500
Au  0.0000  0.0000  0.0000
Tc  0.5000  0.5000  0.5000
Zr  0.7500  0.7500  0.7500

crystal system = cubic
total energy = -8.440 eV/atom
energy relative to the elements = -0.4038 eV/atom

=====

Entry 5:
This record from Alexandria describes crystalline Hf2Ni7Sb2Pt at its relaxed geometry. The functional is PBE.

a b c (Å): 3.5107 3.5107 15.3627
angles (deg): 83.37 83.37 89.99
Last column: magnetic moment on the atom in μB.
Fractional positions:
Hf  0.6267  0.6267  0.7494  0.00
Hf  0.3733  0.3733  0.2506  0.00
Ni  0.5000  0.5000  0.0000  0.22
Ni  0.2705  0.2705  0.4514  0.00
Ni  0.7295  0.7295  0.5486  0.00
Ni  0.9353  0.4353  0.1282  0.06
Ni  0.4353  0.9353  0.1282  0.06
Ni  0.5647  0.0647  0.8718  0.06
Ni  0.0647  0.5647  0.8718  0.06
Sb  0.8056  0.8056  0.3819  0.00
Sb  0.1944  0.1944  0.6181  0.00
Pt  0.0000  0.0000  0.0000  0.07

energy relative to the elements, uncorrected = -0.15 eV/atom
crystal system = monoclinic
total energy = -6.370 eV/atom

=====

Entry 6:
This record from Alexandria describes crystalline Al3Fe12Tc5 at its relaxed geometry. The functional is PBE.

a b c (Å): 11.6932 11.6932 11.6932
angles (deg): 109.47 109.47 109.47
Last column: magnetic moment on the atom in μB.
Fractional positions:
Al  0.7500  0.3750  0.1250  -0.05
Al  0.8750  0.7500  0.1250  -0.05
Al  0.3750  0.7500  0.6250  -0.05
Al  0.2500  0.1250  0.3750  -0.05
Al  0.8750  0.1250  0.2500  -0.05
Al  0.3750  0.6250  0.2500  -0.05
Al  0.6250  0.3750  0.7500  -0.05
Al  0.1250  0.8750  0.7500  -0.05
Al  0.7500  0.8750  0.6250  -0.05
Al  0.6250  0.2500  0.3750  -0.05
Al  0.1250  0.2500  0.8750  -0.05
Al  0.2500  0.6250  0.8750  -0.05
Tc  0.1250  0.3750  0.2500  -0.62
Tc  0.0000  0.5000  0.0000  -0.52
Tc  0.0000  0.0000  0.0000  -0.52
Tc  0.3750  0.2500  0.1250  -0.62
Tc  0.5000  0.0000  0.5000  -0.52
Tc  0.5000  0.5000  0.0000  -0.52
Tc  0.1250  0.7500  0.3750  -0.62
Tc  0.7500  0.1250  0.8750  -0.62
Tc  0.7500  0.6250  0.3750  -0.62
Tc  0.3750  0.1250  0.7500  -0.62
Tc  0.6250  0.8750  0.2500  -0.62
Tc  0.5000  0.5000  0.5000  -0.52
Tc  0.5000  0.0000  0.0000  -0.52
Tc  0.0000  0.0000  0.5000  -0.52
Tc  0.2500  0.3750  0.6250  -0.62
Tc  0.2500  0.8750  0.1250  -0.62
Tc  0.0000  0.5000  0.5000  -0.52
Tc  0.8750  0.2500  0.6250  -0.62
Tc  0.6250  0.7500  0.8750  -0.62
Tc  0.8750  0.6250  0.7500  -0.62
Fe  0.7338  0.1424  0.0693  1.26
Fe  0.3355  0.5693  0.4269  1.26
Fe  0.9307  0.3576  0.2662  1.26
Fe  0.5693  0.2338  0.1424  1.26
Fe  0.5914  0.7338  0.6645  1.26
Fe  0.9307  0.5731  0.1645  1.26
Fe  0.3355  0.7662  0.4086  1.26
Fe  0.0731  0.9086  0.1424  1.26
Fe  0.5731  0.9307  0.6645  1.26
Fe  0.7338  0.5914  0.1645  1.26
Fe  0.7662  0.4307  0.3576  1.26
Fe  0.8355  0.9269  0.0693  1.26
Fe  0.1424  0.7338  0.5693  1.26
Fe  0.3576  0.4269  0.0914  1.26
Fe  0.0914  0.9269  0.3576  1.26
Fe  0.4086  0.1424  0.5731  1.26
Fe  0.0914  0.1645  0.2338  1.26
Fe  0.4307  0.6645  0.0731  1.26
Fe  0.8355  0.9086  0.2662  1.26
Fe  0.1424  0.4086  0.0731  1.26
Fe  0.3576  0.9307  0.7662  1.26
Fe  0.5731  0.6424  0.4086  1.26
Fe  0.9269  0.8355  0.5693  1.26
Fe  0.7662  0.3355  0.9086  1.26
Fe  0.4269  0.3576  0.5914  1.26
Fe  0.0731  0.1645  0.4307  1.26
Fe  0.2338  0.6645  0.0914  1.26
Fe  0.1645  0.0914  0.7338  1.26
Fe  0.6424  0.0693  0.2338  1.26
Fe  0.8576  0.5914  0.9269  1.26
Fe  0.5693  0.3355  0.9269  1.26
Fe  0.5914  0.8576  0.4269  1.26
Fe  0.9086  0.8355  0.7662  1.26
Fe  0.9086  0.0731  0.6424  1.26
Fe  0.8576  0.2662  0.4307  1.26
Fe  0.1645  0.0731  0.9307  1.26
Fe  0.6424  0.5731  0.9086  1.26
Fe  0.4269  0.0693  0.3355  1.26
Fe  0.2662  0.4086  0.8355  1.26
Fe  0.2338  0.5693  0.6424  1.26
Fe  0.9269  0.0914  0.8576  1.26
Fe  0.6645  0.2338  0.5914  1.26
Fe  0.4307  0.7662  0.8576  1.26
Fe  0.0693  0.4269  0.8355  1.26
Fe  0.4086  0.2662  0.3355  1.26
Fe  0.0693  0.6424  0.7338  1.26
Fe  0.6645  0.4307  0.5731  1.26
Fe  0.2662  0.8576  0.9307  1.26

crystal system = cubic
total energy = -7.308 eV/atom
energy relative to the elements = 0.9221 eV/atom

=====

Entry 7:
This record from Alexandria describes crystalline LiAl2Te at its relaxed geometry. The functional is PBE.

a b c (Å): 8.4811 8.4811 8.4811
angles (deg): 23.86 23.86 23.86
Fractional positions:
Al  0.0008  0.0008  0.0008
Al  0.2530  0.2530  0.2530
Li  0.5003  0.5003  0.5003
Te  0.7459  0.7459  0.7459

energy relative to the elements, uncorrected = -0.04 eV/atom
crystal system = trigonal
total energy = -3.178 eV/atom

=====

Entry 8:
This record from Alexandria describes crystalline CeEuGdIn at its relaxed geometry. The functional is PBE.

a b c (Å): 5.5490 5.5490 5.5490
angles (deg): 60.00 60.00 60.00
Last column: magnetic moment on the atom in μB.
Fractional positions:
Eu  0.7500  0.7500  0.7500  -6.78
Gd  0.0000  0.0000  0.0000  7.19
Ce  0.5000  0.5000  0.5000  0.77
In  0.2500  0.2500  0.2500  0.01

crystal system = cubic
total energy = -8.330 eV/atom
energy relative to the elements = -0.0729 eV/atom

=====

Entry 9:
This record from Alexandria describes crystalline Nd4SmY15 at its relaxed geometry. The functional is PBE.

a b c (Å): 5.0912 5.0912 25.3517
angles (deg): 90.00 90.00 90.00
Fractional positions:
Nd  0.0000  0.0000  0.1997
Nd  0.0000  0.0000  0.3999
Nd  0.0000  0.0000  0.6001
Nd  0.0000  0.0000  0.8003
Sm  0.0000  0.0000  0.0000
Y  0.5000  0.5000  0.0000
Y  0.5000  0.5000  0.1996
Y  0.5000  0.5000  0.3999
Y  0.5000  0.5000  0.6001
Y  0.5000  0.5000  0.8004
Y  0.5000  0.0000  0.0995
Y  0.5000  0.0000  0.2998
Y  0.5000  0.0000  0.5000
Y  0.5000  0.0000  0.7002
Y  0.5000  0.0000  0.9005
Y  0.0000  0.5000  0.0995
Y  0.0000  0.5000  0.2998
Y  0.0000  0.5000  0.5000
Y  0.0000  0.5000  0.7002
Y  0.0000  0.5000  0.9005

crystal system = tetragonal
total energy = -6.017 eV/atom
energy relative to the elements = 0.0202 eV/atom

=====

Entry 10:
This record from Alexandria describes crystalline Sr3CaO at its relaxed geometry. The functional is PBE.

a b c (Å): 5.5273 5.5273 5.5273
angles (deg): 90.00 90.00 90.00
Fractional positions:
Sr  0.0000  0.5000  0.0000
Sr  0.0000  0.0000  0.5000
Sr  0.5000  0.0000  0.0000
Ca  0.5000  0.5000  0.5000
O  0.0000  0.0000  0.0000

energy relative to the elements, uncorrected = -0.92 eV/atom
crystal system = cubic
total energy = -3.323 eV/atom
energy above the most stable polymorph in this dataset = 0.00 eV per formula unit

=====

Entry 11:
This record from Alexandria describes crystalline Ca2CuAs2 at its relaxed geometry. The functional is PBE.

a b c (Å): 7.0047 7.0047 4.3987
angles (deg): 90.00 90.00 90.00
Fractional positions:
As  0.3667  0.8667  0.0000
As  0.8667  0.6333  0.0000
As  0.6333  0.1333  0.0000
As  0.1333  0.3667  0.0000
Ca  0.1744  0.6744  0.5000
Ca  0.6744  0.8256  0.5000
Ca  0.8256  0.3256  0.5000
Ca  0.3256  0.1744  0.5000
Cu  0.0000  0.0000  0.0000
Cu  0.5000  0.5000  0.0000

crystal system = tetragonal
total energy = -4.148 eV/atom
energy above the most stable polymorph in this dataset = 0.90 eV per formula unit
energy relative to the elements = -0.6686 eV/atom

=====

Entry 12:
This record from Alexandria describes crystalline Rb2ReBr at its relaxed geometry. The functional is PBE.

a b c (Å): 6.1094 6.1094 6.1094
angles (deg): 60.00 60.00 60.00
Last column: magnetic moment on the atom in μB.
Fractional positions:
Re  0.5000  0.5000  0.5000  3.24
Br  0.0000  0.0000  0.0000  0.01
Rb  0.2500  0.2500  0.2500  0.00
Rb  0.7500  0.7500  0.7500  0.00

energy relative to the elements, uncorrected = 0.83 eV/atom
crystal system = cubic
total energy = -3.182 eV/atom
energy above the most stable polymorph in this dataset = 0.00 eV per formula unit

=====

Entry 13:
This record from Alexandria describes crystalline Cs6GaSb3 at its relaxed geometry. The functional is PBE.

a b c (Å): 6.5877 11.2260 12.9897
angles (deg): 78.58 90.00 90.00
Fractional positions:
Cs  0.7500  0.4587  0.0785
Cs  0.2500  0.5413  0.9215
Cs  0.7500  0.7436  0.2258
Cs  0.2500  0.2564  0.7742
Cs  0.2500  0.5610  0.5460
Cs  0.7500  0.4390  0.4540
Cs  0.2500  0.8630  0.0225
Cs  0.7500  0.1370  0.9775
Cs  0.2500  0.8729  0.6795
Cs  0.7500  0.1271  0.3205
Cs  0.2500  0.9153  0.3680
Cs  0.7500  0.0847  0.6320
Ga  0.7500  0.6779  0.7213
Ga  0.2500  0.3221  0.2787
Sb  0.2500  0.2145  0.4822
Sb  0.7500  0.7855  0.5178
Sb  0.2500  0.5635  0.2315
Sb  0.7500  0.4365  0.7685
Sb  0.7500  0.8103  0.8756
Sb  0.2500  0.1897  0.1244

energy relative to the elements, uncorrected = -0.43 eV/atom
crystal system = monoclinic
total energy = -2.479 eV/atom

=====

Entry 14:
This record from Alexandria describes crystalline LaCd2Au at its relaxed geometry. The functional is PBE.

a b c (Å): 9.6535 9.6535 9.6535
angles (deg): 21.45 21.45 21.45
Fractional positions:
Cd  0.0133  0.0133  0.0133
Cd  0.4867  0.4867  0.4867
Au  0.7500  0.7500  0.7500
La  0.2500  0.2500  0.2500

crystal system = trigonal
total energy = -2.630 eV/atom
energy relative to the elements = -0.1214 eV/atom

=====

Entry 15:
This record from Alexandria describes crystalline VMo2Rh at its relaxed geometry. The functional is PBE.

a b c (Å): 4.3887 4.3887 4.3887
angles (deg): 60.00 60.00 60.00
Fractional positions:
Mo  0.2500  0.2500  0.2500
Mo  0.7500  0.7500  0.7500
Rh  0.5000  0.5000  0.5000
V  0.0000  0.0000  0.0000

crystal system = cubic
total energy = -9.424 eV/atom
energy above the most stable polymorph in this dataset = 0.42 eV per formula unit
energy relative to the elements = 0.1087 eV/atom

=====

Entry 16:
This record from Alexandria describes crystalline CaAcPd at its relaxed geometry. The functional is PBE.

a b c (Å): 3.7579 3.7579 7.2443
angles (deg): 105.03 105.03 90.00
Fractional positions:
Ac  0.2958  0.2958  0.5917
Ca  0.0361  0.0361  0.0723
Pd  0.6680  0.6680  0.3360

crystal system = tetragonal
total energy = -4.226 eV/atom
energy above the most stable polymorph in this dataset = 0.17 eV per formula unit
energy relative to the elements = -0.4581 eV/atom

=====

Entry 17:
This record from Alexandria describes crystalline CaPmEr at its relaxed geometry. The functional is PBE.

a b c (Å): 5.5753 3.5882 12.1818
angles (deg): 81.56 62.73 90.00
Fractional positions:
Ca  0.8846  0.3459  0.2567
Ca  0.5695  0.9391  0.0717
Pm  0.2671  0.5382  0.8734
Pm  0.1867  0.7455  0.4549
Er  0.8972  0.1027  0.7436
Er  0.5565  0.1808  0.5848

crystal system = monoclinic
total energy = -3.737 eV/atom
energy above the most stable polymorph in this dataset = 0.00 eV per formula unit
energy relative to the elements = 0.0345 eV/atom

=====

Entry 18:
This record from Alexandria describes crystalline Th4As2SeS at its relaxed geometry. The functional is PBE.

a b c (Å): 4.2333 7.1825 7.2845
angles (deg): 70.07 90.00 90.00
Fractional positions:
Th  0.0000  0.7444  0.7583
Th  0.0000  0.2556  0.2417
Th  0.5000  0.7490  0.2432
Th  0.5000  0.2510  0.7568
As  0.0000  0.0000  0.0000
As  0.5000  0.0000  0.5000
Se  0.0000  0.5000  0.5000
S  0.5000  0.5000  0.0000

energy relative to the elements, uncorrected = -1.55 eV/atom
crystal system = monoclinic
total energy = -7.374 eV/atom

=====

Entry 19:
This record from Alexandria describes crystalline LaDy12Tm2 at its relaxed geometry. The functional is PBE.

a b c (Å): 6.6123 6.6123 24.8520
angles (deg): 83.36 83.36 114.86
Fractional positions:
La  0.4991  0.9991  0.0016
La  0.0009  0.5009  0.9984
Dy  0.4074  0.3984  0.7969
Dy  0.8984  0.9074  0.7969
Dy  0.5577  0.5581  0.9238
Dy  0.1072  0.6072  0.8573
Dy  0.0078  0.9964  0.3304
Dy  0.3928  0.8928  0.1427
Dy  0.8103  0.3103  0.5801
Dy  0.4964  0.5078  0.3304
Dy  0.0581  0.0577  0.9238
Dy  0.9423  0.9419  0.0762
Dy  0.3277  0.3381  0.5551
Dy  0.6897  0.1897  0.4199
Dy  0.0036  0.9922  0.6696
Dy  0.1723  0.1619  0.4449
Dy  0.4419  0.4423  0.0762
Dy  0.6619  0.6723  0.4449
Dy  0.8381  0.8277  0.5551
Dy  0.0926  0.1016  0.2031
Dy  0.3277  0.8277  0.5710
Dy  0.4922  0.5036  0.6696
Dy  0.6040  0.1040  0.8623
Dy  0.6016  0.5926  0.2031
Dy  0.1723  0.6723  0.4290
Dy  0.8960  0.3960  0.1377
Tm  0.5502  0.0502  0.2727
Tm  0.0411  0.5411  0.2719
Tm  0.9498  0.4498  0.7273
Tm  0.4589  0.9589  0.7281

crystal system = monoclinic
total energy = -4.495 eV/atom
energy relative to the elements = 0.1114 eV/atom

=====

Entry 20:
This record from Alexandria describes crystalline Ba2Be at its relaxed geometry. The functional is PBE.

a b c (Å): 5.5599 5.5599 8.4696
angles (deg): 90.00 90.00 120.00
Fractional positions:
Ba  0.0000  0.0000  0.0000
Ba  0.0000  0.0000  0.5000
Ba  0.3333  0.6667  0.2500
Ba  0.6667  0.3333  0.7500
Be  0.6667  0.3333  0.2500
Be  0.3333  0.6667  0.7500

crystal system = hexagonal
total energy = -2.040 eV/atom
energy above the most stable polymorph in this dataset = 0.38 eV per formula unit
energy relative to the elements = 0.4837 eV/atom